First-principles (PBE) data for Tm2Co3Ru after structural relaxation, as listed in Alexandria via LeMat-Bulk.

E = -38.19 eV/f.u.
symmetry = Immm, No. 71

abc: 5.801 5.801 5.801
angles: 136.24 128.30 70.00
Sites, in units of the cell vectors:
Tm 0.186 0.186 0.000
Tm 0.814 0.814 0.000
Co 0.000 0.500 0.500
Co 0.380 0.880 0.500
Co 0.620 0.120 0.500
Ru 0.500 0.500 0.000